DFT (PBE) results for a geometry-optimized KMg2Sc structure.

The structure in POSCAR format:
```
KMg2Sc
1.0
3.6989 0.0000 0.0000
0.0000 3.7692 0.0000
-0.0391 0.0000 8.8715
K Mg Sc
1 2 1
direct
0.0000 0.0000 0.0000
0.4975 0.5000 0.3131
0.5025 0.5000 0.6869
0.0000 0.0000 0.5000
```

The total magnetization comes out at 0.57 μB/f.u. The energy of formation from the pure elements is 0.1638 eV per atom. The value obtained for the offset from the most stable computed form is 0.0 meV/atom.